1.
This record from Alexandria via LeMat-Bulk describes crystalline LiPu2B2Ir5 at its relaxed geometry. The functional is PBE. Values from VASP.

Geometry as Quantum ESPRESSO input:
```
&SYSTEM
  ibrav = 0, nat = 20, ntyp = 4
/
ATOMIC_SPECIES
Ir 192.22 Ir.upf
Li 6.94 Li.upf
B 10.81 B.upf
Pu 244.00 Pu.upf
ATOMIC_POSITIONS angstrom
Ir 1.548 0.636 7.578
Ir 1.548 0.000 4.857
Ir 1.548 4.221 2.722
Ir 1.548 2.135 0.636
Ir 1.548 5.493 6.992
Ir 1.548 6.992 4.221
Ir 1.548 9.078 2.135
Ir 1.548 2.722 5.493
Ir 1.548 7.578 9.078
Ir 1.548 4.857 0.000
Li 0.000 0.000 0.000
Li 0.000 4.857 4.857
B 0.000 1.195 6.052
B 0.000 3.661 1.195
B 0.000 8.518 3.661
B 0.000 6.052 8.518
Pu 0.000 6.600 1.743
Pu 0.000 1.743 3.114
Pu 0.000 7.970 6.600
Pu 0.000 3.114 7.970
CELL_PARAMETERS angstrom
3.096 0.000 0.000
0.000 9.713 0.000
0.000 0.000 9.713
```

Calculated values
**Space-group type**: P4/mbm, No. 127
**Energy of formation**: -0.38 eV/atom

***

2.
This record from Alexandria via LeMat-Bulk describes crystalline LiBIrRh at its relaxed geometry. The functional is PBE. Values from VASP.

Geometry as Quantum ESPRESSO input:
```
&SYSTEM
  ibrav = 0, nat = 4, ntyp = 4
/
ATOMIC_SPECIES
Ir 192.22 Ir.upf
B 10.81 B.upf
Rh 102.91 Rh.upf
Li 6.94 Li.upf
ATOMIC_POSITIONS angstrom
Ir 1.961 1.132 0.801
B 0.000 0.000 0.000
Rh 5.884 3.397 2.402
Li 3.923 2.265 1.601
CELL_PARAMETERS angstrom
3.923 0.000 0.000
1.961 3.397 0.000
1.961 1.132 3.203
```

Calculated values
**Space-group type**: F-43m, No. 216
**Energy of formation**: -0.11 eV/atom

***

3.
This record from Alexandria via LeMat-Bulk describes crystalline Li2SiB2Ir5 at its relaxed geometry. The functional is PBE. Values from VASP.

Geometry as Quantum ESPRESSO input:
```
&SYSTEM
  ibrav = 0, nat = 20, ntyp = 4
/
ATOMIC_SPECIES
Ir 192.22 Ir.upf
Li 6.94 Li.upf
B 10.81 B.upf
Si 28.09 Si.upf
ATOMIC_POSITIONS angstrom
Ir 0.254 1.715 4.557
Ir -2.405 1.619 5.418
Ir -8.567 1.110 2.498
Ir -3.869 1.393 2.919
Ir -4.721 1.191 0.264
Ir -4.909 1.568 6.890
Ir -6.373 1.341 4.391
Ir -0.211 1.850 7.311
Ir -1.968 1.369 0.719
Ir -6.810 1.592 9.090
Li -2.472 0.325 7.885
Li -7.215 0.003 6.835
Li -1.406 0.106 3.140
Li -6.149 -0.216 2.090
B -7.857 -0.194 4.066
B -5.244 0.210 8.536
B -3.377 -0.102 1.439
B -0.764 0.303 5.909
Si 0.000 0.000 0.000
Si -4.310 0.054 4.988
CELL_PARAMETERS angstrom
-0.157 2.852 -0.167
-9.285 -0.470 0.694
0.664 0.579 9.281
```

Calculated values
**Space-group type**: P4/mbm, No. 127
**Formation energy (no corrections)**: -4.6 eV per formula unit

***

4.
This record from Alexandria via LeMat-Bulk describes crystalline Li2SnB2Ir5 at its relaxed geometry. The functional is PBE. Values from VASP.

Geometry as Quantum ESPRESSO input:
```
&SYSTEM
  ibrav = 0, nat = 20, ntyp = 4
/
ATOMIC_SPECIES
Li 6.94 Li.upf
B 10.81 B.upf
Sn 118.71 Sn.upf
Ir 192.22 Ir.upf
ATOMIC_POSITIONS angstrom
Li 0.236 2.851 2.130
Li -0.962 5.623 8.593
Li 1.002 7.350 4.280
Li -1.729 1.125 6.444
B -0.904 0.851 3.633
B 0.178 7.623 7.090
B 1.148 5.648 2.126
B -1.874 2.827 8.597
Sn 0.000 0.000 0.000
Sn -0.363 4.237 5.362
Ir -0.097 5.042 0.376
Ir -0.804 5.493 3.004
Ir -1.519 8.420 8.135
Ir -2.590 3.850 6.852
Ir -1.371 6.683 5.938
Ir -2.934 0.064 4.118
Ir -2.024 2.660 3.918
Ir -3.753 1.811 8.385
Ir -1.875 0.924 1.721
Ir 0.359 7.533 1.471
CELL_PARAMETERS angstrom
-2.668 0.869 -0.867
-3.201 -0.741 9.104
2.475 9.215 1.620
```

Calculated values
**Space-group type**: P4/mbm, No. 127
**Energy of formation**: -0.26 eV/atom

***

5.
This record from Alexandria via LeMat-Bulk describes crystalline SrLiBIr2 at its relaxed geometry. The functional is PBE. Values from VASP.

Geometry as Quantum ESPRESSO input:
```
&SYSTEM
  ibrav = 0, nat = 5, ntyp = 4
/
ATOMIC_SPECIES
B 10.81 B.upf
Li 6.94 Li.upf
Ir 192.22 Ir.upf
Sr 87.62 Sr.upf
ATOMIC_POSITIONS angstrom
B 0.000 0.000 0.000
Li 0.000 0.000 2.282
Ir 0.000 2.108 0.000
Ir 2.108 0.000 0.000
Sr 2.108 2.108 2.282
CELL_PARAMETERS angstrom
4.217 0.000 0.000
0.000 4.217 0.000
0.000 0.000 4.565
```

Calculated values
**Space-group type**: P4/mmm, No. 123
**Energy of formation**: -0.31 eV/atom

***

6.
This record from Alexandria via LeMat-Bulk describes crystalline Li2TiB2Ir5 at its relaxed geometry. The functional is PBE. Values from VASP.

Geometry as Quantum ESPRESSO input:
```
&SYSTEM
  ibrav = 0, nat = 20, ntyp = 4
/
ATOMIC_SPECIES
Ir 192.22 Ir.upf
Li 6.94 Li.upf
B 10.81 B.upf
Ti 47.87 Ti.upf
ATOMIC_POSITIONS angstrom
Ir -3.603 -3.327 1.373
Ir -5.382 -8.891 5.182
Ir -2.392 -0.900 0.440
Ir -2.443 -3.972 4.103
Ir -5.331 -5.818 1.519
Ir -0.664 -1.883 4.534
Ir -4.282 -2.240 -1.091
Ir -4.171 -6.463 4.249
Ir -0.893 -3.819 6.512
Ir -6.881 -5.971 -0.890
Li -4.221 -5.011 -0.954
Li -0.881 -2.781 1.918
Li -1.435 -6.323 5.312
Li -4.774 -8.553 2.440
B -3.331 -8.411 4.684
B -5.349 -7.272 -0.085
B -2.325 -2.923 -0.326
B -0.307 -4.062 4.443
Ti 0.000 0.000 0.000
Ti -2.828 -5.667 2.179
CELL_PARAMETERS angstrom
-2.118 1.543 1.265
-6.446 -6.024 -3.446
0.791 -5.310 7.804
```

Calculated values
**Space-group type**: P4/mbm, No. 127
**Energy of formation**: -0.41 eV/atom

***

7.
This record from Alexandria via LeMat-Bulk describes crystalline Li2VBIr at its relaxed geometry. The functional is PBE. Values from VASP.

Geometry as Quantum ESPRESSO input:
```
&SYSTEM
  ibrav = 0, nat = 5, ntyp = 4
/
ATOMIC_SPECIES
Li 6.94 Li.upf
B 10.81 B.upf
Ir 192.22 Ir.upf
V 50.94 V.upf
ATOMIC_POSITIONS angstrom
Li 0.000 0.000 2.071
Li 2.071 0.000 0.000
B 0.000 1.923 0.000
Ir 2.071 1.923 2.071
V 0.000 0.000 0.000
CELL_PARAMETERS angstrom
4.142 0.000 0.000
0.000 3.845 0.000
0.000 0.000 4.142
```

Calculated values
**Space-group type**: P4/mmm, No. 123
**Energy of formation**: 1.44 eV/atom

***

8.
This record from Alexandria via LeMat-Bulk describes crystalline Li2VB2Ir5 at its relaxed geometry. The functional is PBE. Values from VASP.

Geometry as Quantum ESPRESSO input:
```
&SYSTEM
  ibrav = 0, nat = 20, ntyp = 4
/
ATOMIC_SPECIES
V 50.94 V.upf
Ir 192.22 Ir.upf
Li 6.94 Li.upf
B 10.81 B.upf
ATOMIC_POSITIONS angstrom
V -0.677 -4.872 -4.467
V 0.000 0.000 0.000
Ir -0.985 0.021 -4.815
Ir -1.746 -4.028 -6.622
Ir -1.671 -2.564 -4.037
Ir -2.480 -6.525 -5.187
Ir -1.093 -2.179 -8.738
Ir -2.774 -8.640 -7.126
Ir -3.058 -6.910 -0.486
Ir -2.489 -4.238 0.058
Ir -1.377 -0.449 -2.098
Ir -2.405 -5.061 -2.602
Li -0.792 -6.674 -7.426
Li -1.530 -7.727 -2.695
Li 0.175 -2.017 -6.238
Li -0.562 -3.070 -1.508
B 0.040 -1.364 -3.460
B -1.259 -5.776 -0.906
B -1.394 -8.380 -5.474
B -0.096 -3.968 -8.027
CELL_PARAMETERS angstrom
-2.797 0.655 -0.290
0.826 -0.613 -9.340
-2.181 -9.131 0.406
```

Calculated values
**Space-group type**: P4/mbm, No. 127
**Energy of formation**: -0.36 eV/atom